Here is crystalline Cs2PtO3 at its relaxed geometry from Alexandria via LeMat-Bulk. Energies are from PBE-GGA.

Cell: 11.0624 7.5218 6.2344 Å, 90.00 90.00 90.00°
Closest atoms and distances in Å follow each position.
Space group Cmc2_1 (No. 36)
Asymmetric unit:
1 Cs 0.1687 0.1385 0.0000 [8 per cell]  6 O 3.00-3.24
2 Pt 0.0000 0.4601 0.5035 [4 per cell]  5 O 2.01-2.08
3 O 0.0000 0.2042 0.4037 [4 per cell]  1 Pt 2.02
4 O 0.1162 0.4903 0.7478 [8 per cell]  2 Pt 2.01-2.08

Energy relative to the elements, uncorrected in kJ/mol of formula units: -493
DOS(E_F) in states/eV/atom: 0.005
Energy above the lowest structure with this stoichiometry in eV per atom: 0.066